Computed, not measured: a relaxed Pr2Cu2Ni3 crystal at the PBE level of DFT.

Cell and atoms, written as POSCAR:
```
Pr2Cu2Ni3
1.0
4.0678 0.0000 0.0000
-2.0339 5.1054 0.4577
0.0000 -2.1734 6.0587
Cu Pr Ni
2 2 3
Direct
0.1003 0.2005 0.1815
0.8997 0.7995 0.8185
0.8344 0.6687 0.2837
0.1656 0.3313 0.7163
0.5639 0.1278 0.3749
0.4361 0.8722 0.6251
0.5000 0.0000 0.0000
```

Properties
Raw total energy = -36.6 eV for the cell shown
Energy relative to the elements = -212 meV per atom
Spin magnetization = 0.00 μB/atom


Computed, not measured: a relaxed Ce2TmNpN4 crystal at the PBE level of DFT.

Cell and atoms, written as POSCAR:
```
Ce2TmNpN4
1.0
-0.8084 -1.5209 -3.0359
5.4490 -2.5386 -0.1791
-3.8449 -3.7277 2.8913
Tm N Ce Np
1 4 2 1
Direct
0.0000 0.0000 0.0000
0.0000 0.7409 0.2290
0.5000 0.2518 0.2313
0.5000 0.7482 0.7687
0.0000 0.2591 0.7710
0.0000 0.5000 0.5000
0.5000 0.0000 0.5000
0.5000 0.5000 0.0000
```

Properties
Raw total energy = -74.3 eV for the cell shown
Formation energy from raw total energies = -1468 meV/atom
Spin magnetization = 0.50 μB/atom